Record 1
The following is a PBE calculation of a relaxed structure of Ce3HoTh2As6, from Alexandria.

Cell lengths 7.2988, 7.2988, 7.3163 Å; angles 99.58, 99.58, 119.99 degrees
Site moments in Bohr magnetons follow the coordinates.
Sites, in units of the cell vectors:
Ce: 0.1677 0.8323 0.5000  0.66
Ce: 0.5000 0.5000 0.5000  0.66
Ce: 0.8323 0.1677 0.5000  0.66
As: 0.5887 0.9174 0.7518  -0.01
As: 0.7548 0.7548 0.2498  -0.01
As: 0.9174 0.5887 0.7518  -0.01
As: 0.2452 0.2452 0.7502  -0.01
As: 0.0826 0.4113 0.2482  -0.01
As: 0.4113 0.0826 0.2482  -0.01
Ho: 0.0000 0.0000 0.0000  0.01
Th: 0.3337 0.6663 0.0000  0.03
Th: 0.6663 0.3337 0.0000  0.03

Total magnetic moment in μB/f.u.: 2.37
Fermi-level density of states in states/eV per cell: 18.49
Calculated formation energy in meV/atom: -1444
E_tot in eV per atom: -6.87
SG: C2/m



Record 2
The following is a PBE calculation of a relaxed structure of BaSr2GaPt, from Alexandria.

Cell lengths 5.9831, 5.0418, 5.9831 Å; angles 90.00, 90.00, 90.00 degrees
Sites, in units of the cell vectors:
Sr: 0.5000 0.0000 0.0000
Sr: 0.0000 0.0000 0.5000
Pt: 0.0000 0.0000 0.0000
Ga: 0.0000 0.5000 0.0000
Ba: 0.5000 0.5000 0.5000

Total magnetic moment in μB/f.u.: 0.00
Fermi-level density of states in states/eV per cell: 3.76
Calculated formation energy in meV/atom: -394
E_tot in eV per atom: -3.26
SG: P4/mmm



Record 3
The following is a PBE calculation of a relaxed structure of WBr3, from Alexandria.

Cell lengths 3.8478, 3.8478, 9.1624 Å; angles 82.23, 82.23, 47.87 degrees
Site moments in Bohr magnetons follow the coordinates.
Sites, in units of the cell vectors:
Br: 0.7331 0.7331 0.8263  0.00
Br: 0.2669 0.2669 0.1737  0.00
Br: 0.5000 0.5000 0.5000  0.00
W: 0.0000 0.0000 0.0000  0.81

Formation energy (no corrections) in kcal/mol of atoms: 6.228
Polymorph energy (0 for the lowest one) in eV per atom: 0.366
Total magnetic moment in μB/f.u.: 0.99
Fermi-level density of states in states/eV per cell: 1.76
E_tot in eV per atom: -4.22
SG: C2/m



Record 4
The following is a PBE calculation of a relaxed structure of Pm2Dy3Er6Zr, from Alexandria.

Cell lengths 6.0751, 6.0751, 11.6031 Å; angles 94.99, 94.99, 119.93 degrees
Sites, in units of the cell vectors:
Dy: 0.1663 0.8337 0.5000
Dy: 0.5000 0.5000 0.5000
Dy: 0.8337 0.1663 0.5000
Er: 0.5911 0.9175 0.7530
Er: 0.9175 0.5911 0.7530
Er: 0.0825 0.4089 0.2470
Er: 0.7563 0.7563 0.2467
Er: 0.2437 0.2437 0.7533
Er: 0.4089 0.0825 0.2470
Zr: 0.0000 0.0000 0.0000
Pm: 0.3332 0.6668 0.0000
Pm: 0.6668 0.3332 0.0000

Total magnetic moment in μB/f.u.: 0.00
Fermi-level density of states in states/eV per cell: 15.03
Calculated formation energy in meV/atom: 50
E_tot in eV per atom: -4.89
SG: C2/m



Record 5
The following is a PBE calculation of a relaxed structure of NaSi2PPd, from Alexandria.

Cell lengths 4.5981, 5.0439, 4.5981 Å; angles 90.00, 90.00, 90.00 degrees
Sites, in units of the cell vectors:
Si: 0.0000 0.0000 0.5000
Si: 0.5000 0.0000 0.0000
Pd: 0.0000 0.0000 0.0000
P: 0.5000 0.5000 0.5000
Na: 0.0000 0.5000 0.0000

Formation energy (no corrections) in kcal/mol of atoms: 10.274
Total magnetic moment in μB/f.u.: 0.00
Fermi-level density of states in states/eV per cell: 0.92
E_tot in eV per atom: -4.11
SG: P4/mmm



Record 6
The following is a PBE calculation of a relaxed structure of Hf2Ga4Cu, from Alexandria.

Cell lengths 5.6460, 5.6460, 5.5935 Å; angles 119.56, 119.56, 91.28 degrees
Sites, in units of the cell vectors:
Ga: 0.7152 0.7868 0.5020
Ga: 0.7133 0.7848 0.0000
Ga: 0.2152 0.2867 0.0000
Ga: 0.2132 0.2848 0.4980
Cu: 0.2144 0.7856 0.0000
Hf: 0.7142 0.2858 0.5000
Hf: 0.2142 0.7858 0.5000

Polymorph energy (0 for the lowest one) in eV per atom: 0.000
Total magnetic moment in μB/f.u.: 0.00
Fermi-level density of states in states/eV per cell: 3.27
Calculated formation energy in meV/atom: -275
E_tot in eV per atom: -5.43
SG: Fmm2